Below is a geometry-optimized Ta3Cu2 structure, with properties calculated at the GGA-PBEsol level.

The structure in extended XYZ format:
```
5
Lattice="-0.3955 -1.3136 -2.4256 -0.5849 -2.7244 -0.0299 -11.6988 1.0893 -0.2831" Properties=species:S:1:pos:R:3 pbc="T T T"
Cu -2.8602 -2.2195 -1.5331
Cu -9.8189 -0.7293 -1.2055
Ta 0.0000 0.0000 0.0000
Ta -4.7481 -0.3992 -0.6104
Ta -7.9311 -2.5496 -2.1283
```

## Properties
DOS at the Fermi energy	3.837	states/eV/cell

---

Below is a geometry-optimized Ta3Cu2 structure, with properties calculated at the GGA-PBEsol level.

The structure in extended XYZ format:
```
5
Lattice="4.2327 0.0000 0.0000 -2.1163 3.6656 0.0000 0.0000 0.0000 5.2454" Properties=species:S:1:pos:R:3 pbc="T T T"
Cu 0.0000 2.4437 4.4791
Cu 2.1163 1.2219 0.7663
Ta 0.0000 0.0000 0.0000
Ta 0.0000 2.4437 1.8707
Ta 2.1163 1.2219 3.3748
```

## Properties
DOS at the Fermi energy	3.479	states/eV/cell

---

Below is a geometry-optimized Ta4Cu structure, with properties calculated at the GGA-PBEsol level.

The structure in extended XYZ format:
```
5
Lattice="-3.0277 1.3084 0.6716 -3.3083 -1.3481 -3.8532 -2.7426 -3.4719 2.8344" Properties=species:S:1:pos:R:3 pbc="T T T"
Cu 0.0000 0.0000 0.0000
Ta -2.3568 -1.3525 0.4447
Ta -4.3794 -0.7642 -1.3847
Ta -6.7218 -2.1592 -0.7919
Ta -4.6992 -2.7475 1.0375
```

## Properties
DOS at the Fermi energy	5.196	states/eV/cell

---

Below is a geometry-optimized TaCu5 structure, with properties calculated at the GGA-PBEsol level.

The structure in extended XYZ format:
```
6
Lattice="2.7044 0.0000 0.0000 0.0000 2.7044 0.0000 0.0000 0.0000 10.1765" Properties=species:S:1:pos:R:3 pbc="T T T"
Cu 0.0000 0.0000 7.0302
Cu 1.3522 1.3522 8.6078
Cu 0.0000 0.0000 0.0000
Cu 1.3522 1.3522 1.5686
Cu 0.0000 0.0000 3.1462
Ta 1.3522 1.3522 5.0882
```

## Properties
DOS at the Fermi energy	3.398	states/eV/cell

---

no.,M_tot (μB per formula unit),energy of formation (eV per atom),uncorrected energy (eV per atom)
1,0.0,0.274,-8.991
2,0.0,0.466,-8.799
3,0.0,0.121,-10.787
4,0.0,0.065,-5.638